{"formula": "HfCrGaRh", "functional": "PBE", "state": "optimized geometry", "sg": "No. 216", "delta_e_f_ev_per_fu": -1.639, "volume_a3_per_cell": 63, "lattice_angstrom": [[4.478, 0.000, 0.000], [2.239, 3.878, 0.000], [2.239, 1.293, 3.656]], "species": ["Rh", "Hf", "Ga", "Cr"], "fractional_positions": [[0.500, 0.500, 0.500], [0.750, 0.750, 0.750], [0.250, 0.250, 0.250], [0.000, 0.000, 0.000]]}

***

{"formula": "HfCrGaRu", "functional": "PBE", "state": "optimized geometry", "sg": "No. 216", "delta_e_f_ev_per_fu": -1.529, "volume_a3_per_cell": 62, "lattice_angstrom": [[-0.486, 2.505, 3.641], [-3.802, 2.197, 0.695], [-2.756, -1.297, 3.238]], "species": ["Ru", "Hf", "Ga", "Cr"], "fractional_positions": [[0.750, 0.750, 0.750], [0.000, 0.000, 0.000], [0.500, 0.500, 0.500], [0.250, 0.250, 0.250]]}

***

{"formula": "HfTiCrGa2", "functional": "PBE", "state": "optimized geometry", "sg": "No. 123", "delta_e_f_ev_per_fu": 2.408, "volume_a3_per_cell": 98, "lattice_angstrom": [[4.625, 0.000, 0.000], [0.000, 4.563, 0.000], [0.000, 0.000, 4.625]], "species": ["Cr", "Hf", "Ga", "Ga", "Ti"], "fractional_positions": [[0.000, 0.000, 0.000], [0.000, 0.500, 0.000], [0.000, 0.000, 0.500], [0.500, 0.000, 0.000], [0.500, 0.500, 0.500]]}

***

{"formula": "CrGa2Hg", "functional": "PBE", "state": "optimized geometry", "sg": "No. 122", "delta_e_f_ev_per_fu": 1.492, "volume_a3_per_cell": 159, "lattice_angstrom": [[-3.358, -5.831, 3.418], [3.685, 1.621, 6.384], [-1.935, -0.436, 5.688]], "species": ["Cr", "Cr", "Hg", "Hg", "Ga", "Ga", "Ga", "Ga"], "fractional_positions": [[0.500, 0.500, 0.000], [0.250, 0.750, 0.500], [0.000, 0.000, 0.000], [0.750, 0.250, 0.500], [0.610, 0.125, 0.250], [0.140, 0.625, 0.250], [0.375, 0.390, 0.750], [0.875, 0.860, 0.750]]}

***

no.,total magnetization (μB/cell)
1,3.66
2,3.00
3,0.00
4,7.36